(1)
Below is Na2PrBr5 after structural relaxation, with properties calculated at the PBE level.

Values from the calculation:
Total energy: -117.44 eV/cell
Space group: Pnma, No. 62
D(E_F): 0.000 states/eV per cell
Uncorrected formation energy: -1.70 eV/atom

abc: 8.491 8.983 12.876
angles: 90.00 90.00 90.00
Element x y z (fractional)
Br  0.838  0.047  0.909
Br  0.662  0.047  0.409
Br  0.942  0.750  0.495
Br  0.318  0.250  0.284
Pr  0.414  0.250  0.507
Na  0.990  0.988  0.680
Na  0.990  0.512  0.680
Br  0.137  0.750  0.817
Br  0.162  0.547  0.091
Br  0.058  0.250  0.505
Br  0.863  0.250  0.183
Br  0.682  0.750  0.716
Na  0.010  0.012  0.320
Na  0.490  0.012  0.820
Br  0.182  0.250  0.784
Pr  0.586  0.750  0.493
Br  0.838  0.453  0.909
Na  0.510  0.512  0.180
Na  0.510  0.988  0.180
Br  0.818  0.750  0.216
Br  0.662  0.453  0.409
Br  0.637  0.250  0.683
Br  0.338  0.953  0.591
Br  0.442  0.250  0.005
Br  0.162  0.953  0.091
Pr  0.914  0.750  0.993
Br  0.558  0.750  0.995
Br  0.363  0.750  0.317
Na  0.010  0.488  0.320
Pr  0.086  0.250  0.007
Na  0.490  0.488  0.820
Br  0.338  0.547  0.591

(2)
Below is Na2PrBr4 after structural relaxation, with properties calculated at the PBE level.

Values from the calculation:
Total energy: -50.13 eV/cell
ΔE to the lowest computed polymorph: 0.0 meV per atom
Space group: Imma, No. 74
D(E_F): 2.276 states/eV per cell
Uncorrected formation energy: -1.57 eV/atom

abc: 7.744 8.956 8.956
angles: 60.94 64.38 64.38
Each line ends with the local moment (μB).
Element x y z (fractional)
Br  0.772  0.724  0.224  0.00
Na  0.872  0.878  0.378  0.00
Pr  0.000  0.500  0.000  0.10
Br  0.228  0.276  0.776  0.00
Pr  0.500  0.500  0.000  0.10
Na  0.500  0.000  0.000  0.00
Br  0.730  0.780  0.759  0.00
Na  0.500  0.500  0.500  0.00
Na  0.128  0.122  0.622  0.00
Br  0.270  0.220  0.241  0.00
Br  0.730  0.259  0.280  0.00
Br  0.280  0.724  0.224  0.00
Br  0.270  0.741  0.720  0.00
Br  0.720  0.276  0.776  0.00

(3)
Below is Na3PrBr6 after structural relaxation, with properties calculated at the PBE level.

Values from the calculation:
Total energy: -35.61 eV/cell
ΔE to the lowest computed polymorph: 0.0 meV per atom
Space group: R3, No. 146
D(E_F): 0.000 states/eV per cell
Uncorrected formation energy: -1.68 eV/atom

abc: 7.528 7.528 8.069
angles: 62.19 62.19 60.00
Element x y z (fractional)
Br  0.569  0.235  0.250
Br  0.052  0.449  0.746
Br  0.753  0.052  0.746
Pr  0.844  0.844  0.467
Br  0.946  0.569  0.250
Br  0.449  0.753  0.746
Na  0.351  0.351  0.948
Na  0.153  0.153  0.542
Br  0.235  0.946  0.250
Na  0.648  0.648  0.056